No. 1
{"formula": "Nd15DyTm4", "functional": "PBE-GGA", "state": "optimized geometry", "delta_e_f_kj_per_mol_fu": 20, "sg": "P4/mmm, No. 123", "lattice_angstrom": [[-3.293, -1.156, 3.781], [1.602, -4.889, -0.100], [17.989, 5.542, 17.362]], "species": ["Nd", "Nd", "Nd", "Nd", "Nd", "Nd", "Nd", "Nd", "Nd", "Nd", "Nd", "Nd", "Nd", "Nd", "Nd", "Dy", "Tm", "Tm", "Tm", "Tm"], "frac_coords": [[0.500, 0.500, 0.000], [0.500, 0.500, 0.200], [0.500, 0.500, 0.400], [0.500, 0.500, 0.600], [0.500, 0.500, 0.800], [0.500, 0.000, 0.100], [0.500, 0.000, 0.300], [0.500, 0.000, 0.500], [0.500, 0.000, 0.700], [0.500, 0.000, 0.900], [0.000, 0.500, 0.100], [0.000, 0.500, 0.300], [0.000, 0.500, 0.500], [0.000, 0.500, 0.700], [0.000, 0.500, 0.900], [0.000, 0.000, 0.000], [0.000, 0.000, 0.200], [0.000, 0.000, 0.400], [0.000, 0.000, 0.600], [0.000, 0.000, 0.800]]}

---

No. 2
{"formula": "Mg2Ga3Tc", "functional": "PBE-GGA", "state": "optimized geometry", "delta_e_f_kj_per_mol_fu": -146, "relative_energy_kcal_per_mol_atoms": 0.000, "sg": "R-3m, No. 166", "lattice_angstrom": [[-3.470, 4.001, -0.774], [-1.030, -3.771, 3.657], [4.623, 0.852, 2.186]], "species": ["Mg", "Mg", "Ga", "Ga", "Ga", "Tc"], "frac_coords": [[0.737, 0.368, 0.105], [0.263, 0.632, 0.895], [0.500, 0.500, 0.500], [0.000, 0.000, 0.500], [0.500, 0.000, 0.500], [0.000, 0.000, 0.000]]}